Entry 1:
# GGA-PBE Na8Tl6Pb, optimized geometry
data_Na8Tl6Pb
_chemical_formula_sum 'Na24 Tl18 Pb3'
_cell_length_a 9.2306
_cell_length_b 9.2306
_cell_length_c 19.8431
_cell_angle_alpha 90.00
_cell_angle_beta 90.00
_cell_angle_gamma 120.00
_symmetry_space_group_name_H-M 'R -3'
_symmetry_Int_Tables_number 148
_symmetry_space_group_name_Hall '-R 3'
loop_
_atom_site_label
_atom_site_fract_x
_atom_site_fract_y
_atom_site_fract_z
Na1 0.0000 0.0000 0.1678
Na2 0.0027 0.3224 0.6177
Tl1 0.0003 0.3349 0.4517
Pb1 0.0000 0.0000 0.5000
# DOS(E_F) = 16.250 states/eV/cell
# Energy above the lowest structure with this stoichiometry = 0.007 eV per atom
# Raw total energy = -88.333 eV for the cell shown



Entry 2:
# GGA-PBE NaTlPb, optimized geometry
data_NaTlPb
_chemical_formula_sum 'Na4 Tl4 Pb4'
_cell_length_a 5.7070
_cell_length_b 5.8523
_cell_length_c 10.5756
_cell_angle_alpha 90.00
_cell_angle_beta 90.00
_cell_angle_gamma 90.00
_symmetry_space_group_name_H-M 'A m a 2'
_symmetry_Int_Tables_number 40
loop_
_symmetry_equiv_pos_as_xyz
'x,y,z'
'-x,-y,z'
'-x+1/2,y,z'
'x+1/2,-y,z'
'x,y+1/2,z+1/2'
'-x,-y+1/2,z+1/2'
'-x+1/2,y+1/2,z+1/2'
'x+1/2,-y+1/2,z+1/2'
loop_
_atom_site_label
_atom_site_fract_x
_atom_site_fract_y
_atom_site_fract_z
Na1 0.2500 0.1923 0.0000
Tl1 0.2500 0.1882 0.6662
Pb1 0.2500 0.1829 0.3294
# DOS(E_F) = 4.042 states/eV/cell
# Raw total energy = -30.891 eV for the cell shown